UIn3Br6 after structural relaxation, computed with GGA-PBE.

## Properties
* total moment: 0.300 μB/atom
* calculated total energy: -38.35 eV for the cell shown
* E above lowest polymorph: 26 meV/atom
* formation energy from raw total energies: -8.81 eV per formula unit

a = 8.173 Å, b = 8.175 Å, c = 9.265 Å
α = 116.06°, β = 116.14°, γ = 60.03°
Fractional positions:
Br: 0.762 0.276 0.800
Br: 0.759 0.766 0.796
Br: 0.271 0.766 0.796
Br: 0.241 0.234 0.204
Br: 0.729 0.234 0.204
Br: 0.238 0.724 0.200
U: 0.000 0.000 0.000
In: 0.315 0.307 0.938
In: 0.685 0.693 0.062
In: 0.500 0.500 0.500